Entry 1:
First-principles (PBE-GGA) data for a geometry-optimized NiTe2Au structure, as listed in the Alexandria database.

The structure in POSCAR format:
```
NiTe2Au
1.0
3.7811 0.0000 0.0000
0.0000 6.2532 0.0000
0.0000 0.0000 3.9536
Te Ni Au
2 1 1
Cartesian
1.8906 3.1266 0.0000 Te
0.0000 0.0000 0.0000 Te
0.0000 3.1266 1.9768 Ni
1.8906 0.0000 1.9768 Au
```

Values from the calculation:
SG = No. 47
mass density = 9.07 g/cm³
total moment = 0.000 μB per formula unit
total energy = -3.47 eV per atom


Entry 2:
First-principles (PBE-GGA) data for a geometry-optimized Ni2TeAu structure, as listed in the Alexandria database.

The structure in POSCAR format:
```
Ni2TeAu
1.0
5.4680 0.1169 -0.0573
2.8776 4.6510 0.0573
-4.1529 -2.4189 2.6113
Ni Te Au
2 1 1
Cartesian
2.3496 -0.1843 1.2770 Ni
8.2981 4.7408 0.0000 Ni
4.3611 2.4915 0.0000 Te
1.7024 2.4530 1.3343 Au
```

Values from the calculation:
SG = No. 44
mass density = 11.20 g/cm³
total moment = 0.000 μB per formula unit
total energy = -4.34 eV per atom


Entry 3:
First-principles (PBE-GGA) data for a geometry-optimized NiTeAu3 structure, as listed in the Alexandria database.

The structure in POSCAR format:
```
NiTeAu3
1.0
-2.1294 -3.6145 -2.3138
4.1642 -2.3649 -0.1381
-1.0380 -2.0725 4.1928
Au Ni Te
3 1 1
Cartesian
-0.5190 -1.0362 2.0964 Au
2.0821 -1.1825 -0.0690 Au
-1.0647 -1.8072 -1.1569 Au
0.0000 0.0000 0.0000 Ni
0.4984 -4.0259 0.8705 Te
```

Values from the calculation:
SG = No. 221
mass density = 11.74 g/cm³
total moment = 0.334 μB per formula unit
total energy = -3.15 eV per atom


Entry 4:
First-principles (PBE-GGA) data for a geometry-optimized NiTeAu2 structure, as listed in the Alexandria database.

The structure in POSCAR format:
```
NiTeAu2
1.0
-0.7134 2.6885 -2.8281
-3.0122 1.4315 2.1206
2.9158 3.0002 2.1165
Au Te Ni
2 1 1
Cartesian
-1.8628 2.0600 -0.3538 Au
0.0000 0.0000 0.0000 Au
-0.0482 2.2158 2.1185 Te
1.1012 2.8443 -0.3558 Ni
```

Values from the calculation:
SG = No. 47
mass density = 13.11 g/cm³
total moment = 0.000 μB per formula unit
total energy = -3.67 eV per atom


Entry 5:
First-principles (PBE-GGA) data for a geometry-optimized NiTeAu2 structure, as listed in the Alexandria database.

The structure in POSCAR format:
```
NiTeAu2
1.0
-1.9719 -9.0954 -2.2389
0.2846 -8.5682 -4.2583
0.9625 -9.4225 -1.3846
Au Ni Te
2 1 1
Cartesian
-0.3728 -13.9310 -4.0538 Au
-0.7144 -26.6982 -7.7689 Au
-0.1812 -6.7715 -1.9705 Ni
-0.5436 -20.3146 -5.9114 Te
```

Values from the calculation:
SG = No. 166
mass density = 12.52 g/cm³
total moment = 0.003 μB per formula unit
total energy = -3.54 eV per atom


Entry 6:
First-principles (PBE-GGA) data for a geometry-optimized NiTe2Au structure, as listed in the Alexandria database.

The structure in POSCAR format:
```
NiTe2Au
1.0
3.0034 0.0000 0.0000
0.0000 3.5992 0.0000
0.0000 0.0000 7.7925
Te Ni Au
2 1 1
Cartesian
0.0000 0.0000 0.3117 Te
0.0000 0.0000 3.5846 Te
1.5017 1.7996 1.9481 Ni
1.5017 1.7996 5.8444 Au
```

Values from the calculation:
SG = No. 47
mass density = 10.07 g/cm³
total moment = 0.000 μB per formula unit
total energy = -3.56 eV per atom


Entry 7:
First-principles (PBE-GGA) data for a geometry-optimized Ni2TeAu structure, as listed in the Alexandria database.

The structure in POSCAR format:
```
Ni2TeAu
1.0
-1.9356 1.7587 -2.7228
-0.7859 -1.8355 -3.2041
-5.6689 -1.8348 0.1607
Te Ni Au
1 2 1
Cartesian
-2.0976 -0.4779 -1.4415 Te
-4.1726 -0.9473 -2.8924 Ni
-2.7441 -0.0853 -5.9176 Ni
-6.2928 -1.4337 -4.3246 Au
```

Values from the calculation:
SG = No. 12
mass density = 10.71 g/cm³
total moment = 0.000 μB per formula unit
total energy = -4.38 eV per atom


Entry 8:
First-principles (PBE-GGA) data for a geometry-optimized NiTe3Au structure, as listed in the Alexandria database.

The structure in POSCAR format:
```
NiTe3Au
1.0
7.0809 0.0000 0.4078
0.0000 5.7966 0.0000
0.0539 0.0000 12.1666
Te Ni Au
12 4 4
Cartesian
5.0994 5.0133 2.3473 Te
1.5859 3.6816 8.2267 Te
2.0608 1.6686 2.6558 Te
2.0354 0.7833 10.2271 Te
5.6282 1.2297 8.9431 Te
1.5066 4.5669 3.6314 Te
4.4636 4.4955 6.0357 Te
0.9501 4.1995 11.9151 Te
6.1847 1.5971 0.6594 Te
2.6712 1.3012 6.5388 Te
5.5489 2.1150 4.3477 Te
5.0740 4.1281 9.9186 Te
3.4337 5.4571 8.3415 Ni
0.1876 2.5588 10.1123 Ni
3.7011 0.3395 4.2329 Ni
6.9472 3.2378 2.4621 Ni
7.0327 1.4276 6.5239 Au
0.1021 4.3691 6.0505 Au
3.6695 4.3259 12.3377 Au
3.4653 1.4708 0.2367 Au
```

Values from the calculation:
SG = No. 14
mass density = 8.49 g/cm³
total moment = 0.000 μB per formula unit
total energy = -3.73 eV per atom


Entry 9:
First-principles (PBE-GGA) data for a geometry-optimized Ni2TeAu structure, as listed in the Alexandria database.

The structure in POSCAR format:
```
Ni2TeAu
1.0
-3.0948 0.9587 0.6760
0.0894 -1.6800 2.7916
2.1519 3.0271 5.5584
Te Ni Au
1 2 1
Cartesian
-0.9871 0.8162 2.4255 Te
1.1028 0.6334 4.1503 Ni
0.1072 -1.6397 2.8162 Ni
0.1336 1.4897 6.6005 Au
```

Values from the calculation:
SG = No. 47
mass density = 11.66 g/cm³
total moment = 0.000 μB per formula unit
total energy = -4.36 eV per atom


Entry 10:
First-principles (PBE-GGA) data for a geometry-optimized NiTe2Au structure, as listed in the Alexandria database.

The structure in POSCAR format:
```
NiTe2Au
1.0
4.4567 0.0000 0.0000
0.0000 4.6622 0.0162
0.0000 1.4813 4.4214
Te Ni Au
2 1 1
Cartesian
0.0000 5.5724 4.0241 Te
2.2284 1.9821 1.4309 Te
2.2284 4.5315 3.2765 Ni
0.0000 3.2727 2.3624 Au
```

Values from the calculation:
SG = No. 38
mass density = 9.24 g/cm³
total moment = 0.000 μB per formula unit
total energy = -3.85 eV per atom


Entry 11:
First-principles (PBE-GGA) data for a geometry-optimized NiTe2Au structure, as listed in the Alexandria database.

The structure in POSCAR format:
```
NiTe2Au
1.0
0.0000 3.4707 3.4707
3.4707 0.0000 3.4707
3.4707 3.4707 0.0000
Te Au Ni
2 1 1
Cartesian
5.2061 5.2061 5.2061 Te
1.7354 1.7354 1.7354 Te
3.4707 3.4707 3.4707 Au
0.0000 0.0000 0.0000 Ni
```

Values from the calculation:
SG = No. 225
mass density = 10.15 g/cm³
total moment = 0.000 μB per formula unit
total energy = -3.43 eV per atom


Entry 12:
First-principles (PBE-GGA) data for a geometry-optimized Ni3TeAu structure, as listed in the Alexandria database.

The structure in POSCAR format:
```
Ni3TeAu
1.0
4.6071 0.0000 0.0000
0.0000 4.6071 0.0000
0.0000 0.0000 4.6071
Ni Te Au
3 1 1
Cartesian
0.0000 2.3036 0.0000 Ni
2.3036 0.0000 0.0000 Ni
0.0000 0.0000 2.3036 Ni
0.0000 0.0000 0.0000 Te
2.3036 2.3036 2.3036 Au
```

Values from the calculation:
SG = No. 221
mass density = 8.50 g/cm³
total moment = 0.000 μB per formula unit
total energy = -3.99 eV per atom


Entry 13:
First-principles (PBE-GGA) data for a geometry-optimized NiTe2Au structure, as listed in the Alexandria database.

The structure in POSCAR format:
```
NiTe2Au
1.0
-2.0595 1.6563 4.2175
-1.1159 -1.8876 4.4681
4.5764 1.5021 4.0096
Te Ni Au
2 1 1
Cartesian
-2.4734 -0.0497 8.6100 Te
0.8522 0.8522 8.8422 Te
0.8365 0.5004 3.9262 Ni
-0.2893 0.3720 6.3500 Au
```

Values from the calculation:
SG = No. 8
mass density = 8.48 g/cm³
total moment = 0.000 μB per formula unit
total energy = -3.84 eV per atom


Entry 14:
First-principles (PBE-GGA) data for a geometry-optimized TiNiTeAu2 structure, as listed in the Alexandria database.

The structure in POSCAR format:
```
TiNiTeAu2
1.0
-5.0651 0.2829 1.0417
0.2226 -3.9641 2.1591
1.0488 2.4711 4.4288
Ni Au Te Ti
1 2 1 1
Cartesian
0.1113 -1.9820 1.0795 Ni
0.5244 1.2355 2.2144 Au
-2.5326 0.1415 0.5208 Au
0.0000 0.0000 0.0000 Te
-1.8968 -0.6050 3.8148 Ti
```

Values from the calculation:
SG = No. 123
mass density = 8.60 g/cm³
total moment = 0.000 μB per formula unit
total energy = -3.79 eV per atom


Entry 15:
First-principles (PBE-GGA) data for a geometry-optimized TlNi2TeAu structure, as listed in the Alexandria database.

The structure in POSCAR format:
```
TlNi2TeAu
1.0
4.8823 0.0000 0.0000
0.0000 5.2121 0.0000
0.0000 0.0000 4.8823
Ni Te Tl Au
2 1 1 1
Cartesian
0.0000 0.0000 2.4412 Ni
2.4412 0.0000 0.0000 Ni
2.4412 2.6060 2.4412 Te
0.0000 2.6060 0.0000 Tl
0.0000 0.0000 0.0000 Au
```

Values from the calculation:
SG = No. 123
mass density = 8.64 g/cm³
total moment = 1.465 μB per formula unit
total energy = -3.26 eV per atom


Entry 16:
First-principles (PBE-GGA) data for a geometry-optimized Th3NiAu structure, as listed in the Alexandria database.

The structure in POSCAR format:
```
Th3NiAu
1.0
-4.0485 3.8853 2.6518
-5.3330 -2.5055 1.9492
0.1790 -0.9402 8.2247
Au Ni Th
2 2 6
Cartesian
-4.3241 1.5988 6.5645 Au
-4.8784 -1.1592 6.2613 Au
-4.9354 -0.5272 2.1667 Ni
-4.4461 1.9070 2.4343 Ni
-2.7493 -0.3878 8.5540 Th
0.0446 -0.7180 6.4498 Th
-9.2471 1.1577 6.3759 Th
-2.7163 0.0938 4.1133 Th
-6.4862 0.3459 8.7124 Th
-6.4532 0.8274 4.2718 Th
```

Values from the calculation:
SG = No. 12
mass density = 12.05 g/cm³
total moment = 0.000 μB per formula unit
total energy = -6.63 eV per atom


Entry 17:
First-principles (PBE-GGA) data for a geometry-optimized Th3Ni2Au4 structure, as listed in the Alexandria database.

The structure in POSCAR format:
```
Th3Ni2Au4
1.0
4.0240 0.0000 1.0734
1.7027 5.6634 1.6962
-0.1412 -0.2440 8.6084
Au Th Ni
4 3 2
Cartesian
3.8608 3.3454 9.7646 Au
0.5325 1.6243 6.0828 Au
5.0530 3.7952 5.2952 Au
1.7248 2.0740 1.6135 Au
2.4325 4.0199 7.0396 Th
0.0000 0.0000 0.0000 Th
3.1530 1.3996 4.3385 Th
2.4331 0.0652 7.0372 Ni
3.1524 5.3542 4.3408 Ni
```

Values from the calculation:
SG = No. 12
mass density = 13.41 g/cm³
total moment = 0.000 μB per formula unit
total energy = -5.80 eV per atom


Entry 18:
First-principles (PBE-GGA) data for a geometry-optimized Th4Ni3Au structure, as listed in the Alexandria database.

The structure in POSCAR format:
```
Th4Ni3Au
1.0
3.8436 0.0000 0.0000
0.0000 4.1871 0.0000
0.0000 0.0000 11.4365
Ni Th Au
3 4 1
Cartesian
1.9218 0.0000 10.2358 Ni
0.0000 2.0936 6.7076 Ni
0.0000 0.0000 5.0073 Ni
0.0000 0.0000 1.8661 Th
1.9218 0.0000 7.2178 Th
0.0000 2.0936 9.7602 Th
1.9218 2.0936 4.1993 Th
1.9218 2.0936 0.7517 Au
```

Values from the calculation:
SG = No. 25
mass density = 11.74 g/cm³
total moment = 0.000 μB per formula unit
total energy = -6.74 eV per atom


Entry 19:
First-principles (PBE-GGA) data for a geometry-optimized ThNi2Au structure, as listed in the Alexandria database.

The structure in POSCAR format:
```
ThNi2Au
1.0
4.4114 0.0000 0.0000
2.2057 3.8204 0.0000
2.2057 1.2735 4.3597
Ni Au Th
2 1 1
Cartesian
2.2057 1.2735 1.6511 Ni
6.6171 3.8204 2.7087 Ni
4.4114 2.5469 2.1799 Au
0.0000 0.0000 0.0000 Th
```

Values from the calculation:
SG = No. 166
mass density = 12.35 g/cm³
total moment = 0.000 μB per formula unit
total energy = -6.00 eV per atom


Entry 20:
First-principles (PBE-GGA) data for a geometry-optimized Th3Ni4Au structure, as listed in the Alexandria database.

The structure in POSCAR format:
```
Th3Ni4Au
1.0
3.8091 0.0000 0.0000
0.0000 6.2608 -0.0642
-1.9046 -3.0589 7.0560
Ni Th Au
4 3 1
Cartesian
1.9046 1.2537 5.2239 Ni
0.0000 1.9482 1.7679 Ni
0.0000 4.3480 1.7414 Ni
1.9046 -1.1461 5.2503 Ni
1.9046 3.1304 -0.0321 Th
1.9046 0.0249 2.6197 Th
0.0000 3.1770 4.3721 Th
0.0000 0.0000 0.0000 Au
```

Values from the calculation:
SG = No. 71
mass density = 11.18 g/cm³
total moment = 0.000 μB per formula unit
total energy = -6.47 eV per atom


Entry 21:
First-principles (PBE-GGA) data for a geometry-optimized Th3Ni2Au structure, as listed in the Alexandria database.

The structure in POSCAR format:
```
Th3Ni2Au
1.0
-7.5077 -0.3893 -0.0813
-3.4604 -6.5772 -1.1351
-3.6995 -3.3747 5.6079
Ni Th Au
4 6 2
Cartesian
-12.4960 -8.8102 3.7413 Ni
-9.5053 -6.7016 2.8459 Ni
-2.1715 -1.5310 0.6502 Ni
-5.1622 -3.6396 1.5456 Ni
-10.0600 -3.8484 2.6816 Th
-6.3557 -2.9898 4.1203 Th
-7.3711 -3.4439 -0.3408 Th
-7.2964 -6.8973 4.7322 Th
-4.6076 -6.4929 1.7098 Th
-8.3118 -7.3515 0.2711 Th
-7.3338 -5.1706 2.1957 Au
0.0000 0.0000 0.0000 Au
```

Values from the calculation:
SG = No. 167
mass density = 11.28 g/cm³
total moment = 0.000 μB per formula unit
total energy = -6.56 eV per atom


Entry 22:
First-principles (PBE-GGA) data for a geometry-optimized Th6Ni6Au structure, as listed in the Alexandria database.

The structure in POSCAR format:
```
Th6Ni6Au
1.0
5.6449 0.0000 0.0000
2.8224 6.9698 -0.0953
2.8224 0.0716 6.9701
Ni Au Th
6 1 6
Cartesian
4.2336 0.0358 3.4851 Ni
5.6449 5.2545 1.6616 Ni
1.4112 0.0358 3.4851 Ni
5.6449 1.7869 5.2132 Ni
1.4112 3.4849 -0.0476 Ni
4.2336 3.4849 -0.0476 Ni
0.0000 0.0000 0.0000 Au
5.6449 2.3649 2.3090 Th
5.6449 4.6765 4.5658 Th
8.4673 5.8689 5.7301 Th
2.8224 4.8646 2.0610 Th
2.8224 2.1768 4.8139 Th
2.8224 1.1725 1.1447 Th
```

Values from the calculation:
SG = No. 71
mass density = 11.75 g/cm³
total moment = 0.000 μB per formula unit
total energy = -6.64 eV per atom


Entry 23:
First-principles (PBE-GGA) data for a geometry-optimized Th6NiAu2 structure, as listed in the Alexandria database.

The structure in POSCAR format:
```
Th6NiAu2
1.0
6.4199 0.0000 0.1890
0.0000 7.7208 0.0000
-0.5266 0.0000 10.2281
Ni Th Au
2 12 4
Cartesian
-0.2633 0.0000 5.1140 Ni
3.2100 3.8604 0.0945 Ni
5.2479 5.1682 5.8178 Th
2.3013 6.4130 0.6092 Th
5.3435 7.4491 2.6798 Th
1.8702 4.1321 7.6994 Th
4.0231 3.5887 2.7178 Th
0.5498 0.2717 7.7373 Th
3.5920 1.3078 9.8079 Th
0.6454 2.5526 4.5993 Th
5.0790 5.3847 9.8431 Th
0.8143 2.3361 0.5740 Th
3.7609 1.5243 5.7825 Th
2.1324 6.1965 4.6346 Th
3.4278 6.8345 7.6881 Au
5.4122 2.9741 7.9375 Au
2.4655 0.8863 2.7290 Au
0.4811 4.7467 2.4796 Au
```

Values from the calculation:
SG = No. 14
mass density = 12.07 g/cm³
total moment = 0.000 μB per formula unit
total energy = -6.61 eV per atom


Entry 24:
First-principles (PBE-GGA) data for a geometry-optimized ThNiAu structure, as listed in the Alexandria database.

The structure in POSCAR format:
```
ThNiAu
1.0
6.5992 0.0000 -0.0068
0.0000 6.3296 0.0000
-1.9483 0.0000 6.1250
Ni Au Th
4 4 4
Cartesian
2.9945 2.9546 1.1586 Ni
1.6564 3.3750 4.9596 Ni
-1.2793 0.2102 4.2245 Ni
5.9302 6.1194 1.8937 Ni
1.1872 5.6146 3.7262 Au
3.4636 0.7151 2.3920 Au
-0.8101 2.4498 5.4579 Au
5.4610 3.8799 0.6603 Au
3.0100 0.9500 5.7209 Th
3.9664 4.1148 3.4564 Th
0.6845 2.2148 2.6618 Th
1.6409 5.3797 0.3973 Th
```

Values from the calculation:
SG = No. 14
mass density = 12.67 g/cm³
total moment = 0.000 μB per formula unit
total energy = -5.99 eV per atom


Entry 25:
First-principles (PBE-GGA) data for a geometry-optimized Th3Ni8Au structure, as listed in the Alexandria database.

The structure in POSCAR format:
```
Th3Ni8Au
1.0
5.0955 0.0000 0.0000
2.5478 4.4128 0.0000
2.5478 1.4709 8.4491
Th Ni Au
3 8 1
Cartesian
5.0955 2.9419 3.9981 Th
5.0955 2.9419 7.2760 Th
7.6433 4.4128 0.2923 Th
2.5478 1.4709 3.6840 Ni
7.6433 4.4128 7.9048 Ni
7.6433 2.9368 5.8075 Ni
3.7994 2.1936 1.5566 Ni
6.3916 2.1936 1.5566 Ni
8.9216 5.1509 5.8075 Ni
5.0955 4.4385 1.5566 Ni
6.3649 5.1509 5.8075 Ni
7.6433 4.4128 3.3349 Au
```

Values from the calculation:
SG = No. 160
mass density = 11.91 g/cm³
total moment = 0.000 μB per formula unit
total energy = -6.42 eV per atom